Record 1
Dy8Al2Ni: relaxed, PBE.

Cell: 18.245 4.994 6.583 Å, 90.00 102.49 90.00°
Space group C2/m (No. 12)
Symmetry-distinct sites (fractional):
1 Dy 0.020 0.000 0.278
2 Dy 0.092 0.500 0.957
3 Dy 0.147 0.500 0.475
4 Dy 0.210 0.000 0.804
5 Al 0.188 0.000 0.255
6 Ni 0.000 0.500 0.500

Computed properties:
Magnetization: 0.00 μB/atom
Volume: 26.62 Å³ per atom
Crystal system: monoclinic

=====

Record 2
TaTc3Ag: relaxed, PBE.

Cell: 4.743 4.743 4.743 Å, 90.00 90.00 90.00°
Space group Pm-3m (No. 221)
Symmetry-distinct sites (fractional):
1 Ta 0.000 0.000 0.000
2 Tc 0.000 0.000 0.500
3 Ag 0.500 0.500 0.500

Computed properties:
Magnetization: 0.52 μB/atom
Volume: 21.34 Å³ per atom
Crystal system: cubic

=====

Record 3
Tb2Nd3Hg6: relaxed, PBE.

Cell: 5.164 5.164 27.053 Å, 90.00 90.00 90.00°
Space group I4/mmm (No. 139)
Symmetry-distinct sites (fractional):
1 Tb 0.000 0.000 0.123
2 Nd 0.000 0.000 0.354
3 Nd 0.000 0.000 0.500
4 Hg 0.000 0.000 0.236
5 Hg 0.000 0.500 0.067

Computed properties:
Magnetization: 0.00 μB/atom
Volume: 32.80 Å³ per atom
Crystal system: tetragonal

=====

Record 4
Y2ScRh: relaxed, PBE.

Cell: 3.6589 3.6589 27.7927 Å, 90.00 90.00 120.00°
Space group R3m (No. 160, hexagonal axes)
Symmetry-distinct sites (fractional):
1 Y 0.0000 0.0000 0.0000
2 Y 0.0000 0.0000 0.2227
3 Sc 0.0000 0.0000 0.7696
4 Rh 0.0000 0.0000 0.4901

Computed properties:
Magnetization: 0.02 μB/atom
Volume: 26.85 Å³ per atom
Crystal system: trigonal

=====

Record 5
Cs2CdHgP: relaxed, PBE.

Cell: 7.120 7.120 4.997 Å, 90.00 90.00 90.00°
Space group P4/mmm (No. 123)
Symmetry-distinct sites (fractional):
1 Cs 0.000 0.500 0.000
2 Cd 0.000 0.000 0.500
3 Hg 0.500 0.500 0.500
4 P 0.000 0.000 0.000

Computed properties:
Magnetization: 0.00 μB/atom
Volume: 50.67 Å³ per atom
Crystal system: tetragonal

=====

Record 6
Na3Ga8Au3: relaxed, PBE.

Cell: 4.402 10.050 12.797 Å, 90.00 90.00 90.00°
Space group Immm (No. 71)
Symmetry-distinct sites (fractional):
1 Na 0.000 0.000 0.000
2 Na 0.000 0.000 0.332
3 Ga 0.000 0.281 0.121
4 Ga 0.000 0.367 0.313
5 Au 0.000 0.259 0.500
6 Au 0.000 0.500 0.000

Computed properties:
Magnetization: 0.00 μB/atom
Volume: 20.22 Å³ per atom
Crystal system: orthorhombic

=====

The records above yield E_tot values of -4.744 -7.406 -2.420 -6.934 -1.806 -2.952 eV per atom, respectively.